SmPaZn2 (PBE-GGA, relaxed); symmetry = No. 225; E_form = -0.009 eV per atom; DOS at the Fermi energy = 1.41 states/eV per atom; offset from the most stable computed form = 0.080 eV per atom; magnetic moment = 0.00 μB/atom
1.0
0.000 3.576 3.576
3.576 0.000 3.576
3.576 3.576 0.000
Sm Pa Zn
1 1 2
Cartesian
0.000 0.000 0.000
3.576 3.576 3.576
1.788 1.788 1.788
5.365 5.365 5.365